# PBE TbHfRu2, relaxed
data_TbHfRu2
_chemical_formula_sum 'Tb1 Hf1 Ru2'
_cell_length_a 3.305
_cell_length_b 3.305
_cell_length_c 6.737
_cell_angle_alpha 90.00
_cell_angle_beta 90.00
_cell_angle_gamma 90.00
_symmetry_space_group_name_H-M 'P 4/m m m'
_symmetry_Int_Tables_number 123
_symmetry_space_group_name_Hall '-P 4 2'
loop_
_atom_site_label
_atom_site_type_symbol
_atom_site_fract_x
_atom_site_fract_y
_atom_site_fract_z
Tb1 Tb 0.000 0.000 0.000
Hf1 Hf 0.000 0.000 0.500
Ru1 Ru 0.500 0.500 0.270
# Energy of formation in eV/atom: -0.571
# Fermi-level density of states in states/eV/f.u.: 2.04
# Magnetization in μB/cell: 0.0
# DFT total energy in eV for the cell shown: -35.42